# 1
VASP calculation (PBE-GGA) on a relaxed NaNbIrO6 crystal.

Output
Theoretical density, g/cm3: 5.3
SG: No. 163
E_tot, eV/atom: -7.05
Formation energy (no corrections), eV/atom: -1.492
Crystal system: trigonal

a = 5.3043 Å, b = 5.3043 Å, c = 10.3381 Å
α = 90.00°, β = 90.00°, γ = 120.00°
Element x y z (fractional)
Na (0.0000, 0.0000, 0.0000)
Na (0.0000, 0.0000, 0.5000)
Nb (0.3333, 0.6667, 0.2500)
Nb (0.6667, 0.3333, 0.7500)
Ir (0.3333, 0.6667, 0.7500)
Ir (0.6667, 0.3333, 0.2500)
O (0.0095, 0.3799, 0.6454)
O (0.0095, 0.6297, 0.8546)
O (0.3703, 0.3799, 0.8546)
O (0.3703, 0.9905, 0.6454)
O (0.3799, 0.0095, 0.1454)
O (0.3799, 0.3703, 0.3546)
O (0.6201, 0.6297, 0.6454)
O (0.6201, 0.9905, 0.8546)
O (0.6297, 0.0095, 0.3546)
O (0.6297, 0.6201, 0.1454)
O (0.9905, 0.3703, 0.1454)
O (0.9905, 0.6201, 0.3546)


# 2
VASP calculation (PBE-GGA) on a relaxed NaNbIrPt2 crystal.

Output
Theoretical density, g/cm3: 10.3
SG: No. 123
E_tot, eV/atom: -4.80
Crystal system: tetragonal

a = 4.7746 Å, b = 4.7746 Å, c = 4.9220 Å
α = 90.00°, β = 90.00°, γ = 90.00°
Element x y z (fractional)
Na (0.0000, 0.0000, 0.0000)
Nb (0.0000, 0.0000, 0.5000)
Ir (0.5000, 0.5000, 0.0000)
Pt (0.0000, 0.5000, 0.5000)
Pt (0.5000, 0.0000, 0.5000)


# 3
VASP calculation (PBE-GGA) on a relaxed Na4NbIr3S8 crystal.

Output
Theoretical density, g/cm3: 5.7
SG: No. 166
E_tot, eV/atom: -5.38
Formation energy (no corrections), eV/atom: -0.698
Crystal system: trigonal

a = 7.6402 Å, b = 7.6402 Å, c = 7.6402 Å
α = 57.73°, β = 57.73°, γ = 57.73°
Element x y z (fractional)
Na (0.0000, 0.0000, 0.0000)
Na (0.0000, 0.5000, 0.5000)
Na (0.5000, 0.0000, 0.5000)
Na (0.5000, 0.5000, 0.0000)
Nb (0.5000, 0.5000, 0.5000)
Ir (0.0000, 0.0000, 0.5000)
Ir (0.0000, 0.5000, 0.0000)
Ir (0.5000, 0.0000, 0.0000)
S (0.2180, 0.7393, 0.7393)
S (0.2273, 0.2273, 0.2273)
S (0.2607, 0.2607, 0.7820)
S (0.2607, 0.7820, 0.2607)
S (0.7393, 0.2180, 0.7393)
S (0.7393, 0.7393, 0.2180)
S (0.7727, 0.7727, 0.7727)
S (0.7820, 0.2607, 0.2607)


# 4
VASP calculation (PBE-GGA) on a relaxed Na2NbSbIr crystal.

Output
Theoretical density, g/cm3: 5.2
SG: No. 123
E_tot, eV/atom: -3.94
Formation energy (no corrections), eV/atom: 1.199
Crystal system: tetragonal

a = 5.4339 Å, b = 5.4339 Å, c = 4.8846 Å
α = 90.00°, β = 90.00°, γ = 90.00°
Element x y z (fractional)
Na (0.0000, 0.5000, 0.0000)
Na (0.5000, 0.0000, 0.0000)
Nb (0.0000, 0.0000, 0.5000)
Sb (0.5000, 0.5000, 0.0000)
Ir (0.5000, 0.5000, 0.5000)


# 5
VASP calculation (PBE-GGA) on a relaxed Na2Nb2IrSe6 crystal.

Output
Theoretical density, g/cm3: 5.8
SG: No. 12
E_tot, eV/atom: -5.50
Formation energy (no corrections), eV/atom: -0.724
Crystal system: monoclinic

a = 6.3578 Å, b = 6.3578 Å, c = 7.6158 Å
α = 96.58°, β = 96.58°, γ = 121.08°
Element x y z (fractional)
Na (0.1819, 0.8181, 0.0000)
Na (0.8181, 0.1819, 0.0000)
Nb (0.3673, 0.6327, 0.5000)
Nb (0.6327, 0.3673, 0.5000)
Ir (0.0000, 0.0000, 0.5000)
Se (0.0401, 0.3814, 0.6925)
Se (0.2413, 0.2413, 0.2650)
Se (0.3814, 0.0401, 0.6925)
Se (0.6186, 0.9599, 0.3075)
Se (0.7587, 0.7587, 0.7350)
Se (0.9599, 0.6186, 0.3075)


# 6
VASP calculation (PBE-GGA) on a relaxed NaNdIr4 crystal.

Output
Theoretical density, g/cm3: 14.3
SG: No. 216
E_tot, eV/atom: -7.23
Crystal system: cubic

a = 5.3626 Å, b = 5.3626 Å, c = 5.3626 Å
α = 60.00°, β = 60.00°, γ = 60.00°
Element x y z (fractional)
Na (0.0000, 0.0000, 0.0000)
Nd (0.7500, 0.7500, 0.7500)
Ir (0.3747, 0.3747, 0.3747)
Ir (0.3747, 0.3747, 0.8759)
Ir (0.3747, 0.8759, 0.3747)
Ir (0.8759, 0.3747, 0.3747)


# 7
VASP calculation (PBE-GGA) on a relaxed NaNd2Ir crystal.

Output
Theoretical density, g/cm3: 6.0
SG: No. 160
Energy above the lowest structure with this stoichiometry, meV per atom: 0
E_tot, eV/atom: -5.27
Crystal system: trigonal

a = 9.4156 Å, b = 9.4156 Å, c = 9.4156 Å
α = 25.88°, β = 25.88°, γ = 25.88°
Element x y z (fractional)
Na (0.0000, 0.0000, 0.0000)
Nd (0.2216, 0.2216, 0.2216)
Nd (0.4474, 0.4474, 0.4474)
Ir (0.8347, 0.8347, 0.8347)


# 8
VASP calculation (PBE-GGA) on a relaxed NaNd2Ir crystal.

Output
Theoretical density, g/cm3: 5.2
SG: No. 166
Energy above the lowest structure with this stoichiometry, meV per atom: 76
E_tot, eV/atom: -5.20
Crystal system: trigonal

a = 10.9181 Å, b = 10.9181 Å, c = 10.9181 Å
α = 21.96°, β = 21.96°, γ = 21.96°
Element x y z (fractional)
Na (0.0000, 0.0000, 0.0000)
Nd (0.1200, 0.1200, 0.1200)
Nd (0.8800, 0.8800, 0.8800)
Ir (0.5000, 0.5000, 0.5000)


Question: Which of these has the lowest E_tot?
Answer: NaNdIr4


Copy entry 4 word for word.
VASP calculation (PBE-GGA) on a relaxed Na2NbSbIr crystal.

Output
Theoretical density, g/cm3: 5.2
SG: No. 123
E_tot, eV/atom: -3.94
Formation energy (no corrections), eV/atom: 1.199
Crystal system: tetragonal

a = 5.4339 Å, b = 5.4339 Å, c = 4.8846 Å
α = 90.00°, β = 90.00°, γ = 90.00°
Element x y z (fractional)
Na (0.0000, 0.5000, 0.0000)
Na (0.5000, 0.0000, 0.0000)
Nb (0.0000, 0.0000, 0.5000)
Sb (0.5000, 0.5000, 0.0000)
Ir (0.5000, 0.5000, 0.5000)